[1]
Compound: CsTa3Mo
Source: the Alexandria database
Functional: GGA-PBEsol
Structure: optimized geometry

E_form	3.48	eV per atom
total magnetic moment	1.89	μB/f.u.
SG	Pm-3m, No. 221
N(E_F)	6.3	states/eV per cell

a b c (Å): 4.9033 4.9033 4.9033
angles (deg): 90.00 90.00 90.00
Closest atoms and distances in Å follow each position.
Positions (direct):
1 Cs 0.0000 0.0000 0.0000  6 Ta 2.45
2 Ta 0.0000 0.0000 0.5000  2 Cs 2.45
3 Ta 0.0000 0.5000 0.0000  2 Cs 2.45
4 Ta 0.5000 0.0000 0.0000  2 Cs 2.45
5 Mo 0.5000 0.5000 0.5000  12 Ta 3.47

=====

[2]
Compound: TaSe
Source: the Alexandria database
Functional: GGA-PBEsol
Structure: optimized geometry

total magnetic moment	0.00	μB/f.u.
SG	R-3m, No. 166
N(E_F)	1.1	states/eV per cell
formation energy (no corrections)	-598	meV/atom

a b c (Å): 9.0173 9.0173 9.0173
angles (deg): 20.92 20.92 20.92
Closest atoms and distances in Å follow each position.
Positions (direct):
1 Ta 0.1255 0.1255 0.1255  3 Se 2.57
2 Ta 0.8745 0.8745 0.8745  3 Se 2.57
3 Se 0.3929 0.3929 0.3929  3 Ta 2.57
4 Se 0.6071 0.6071 0.6071  3 Ta 2.57

=====

- The highest N(E_F) belongs to which entry?
  CsTa3Mo

=====

- Look up the N(E_F) of the first one.
  6.3 states/eV per cell

=====

- Number 2 is which compound?
  TaSe

=====

What did the second record say?
Compound: TaSe
Source: the Alexandria database
Functional: GGA-PBEsol
Structure: optimized geometry

total magnetic moment	0.00	μB/f.u.
SG	R-3m, No. 166
N(E_F)	1.1	states/eV per cell
formation energy (no corrections)	-598	meV/atom

a b c (Å): 9.0173 9.0173 9.0173
angles (deg): 20.92 20.92 20.92
Closest atoms and distances in Å follow each position.
Positions (direct):
1 Ta 0.1255 0.1255 0.1255  3 Se 2.57
2 Ta 0.8745 0.8745 0.8745  3 Se 2.57
3 Se 0.3929 0.3929 0.3929  3 Ta 2.57
4 Se 0.6071 0.6071 0.6071  3 Ta 2.57